1.
Density functional theory data (PBE-GGA) for AcGdCo after structural relaxation.

Cell: 4.904 4.904 4.904 Å, 60.00 60.00 60.00°
Atoms (fractional coordinates):
Gd  0.750  0.750  0.750
Co  0.250  0.250  0.250
Ac  0.000  0.000  0.000

Values from the calculation:
The energy of formation is 0.98 eV per atom. The value obtained for the spin magnetization is 0.02 μB/f.u. The total DFT energy (no corrections) is -12.93 eV per formula unit.

=====

2.
Density functional theory data (PBE-GGA) for Er2Sb2O5 after structural relaxation.

Cell: 8.369 3.959 3.959 Å, 90.00 90.00 90.00°
Atoms (fractional coordinates):
Sb  0.242  0.500  0.500
Er  0.000  0.000  0.000
O  0.316  0.500  0.000
O  0.500  0.500  0.500
Sb  0.758  0.500  0.500
O  0.316  0.000  0.500
O  0.684  0.500  0.000
O  0.684  0.000  0.500
Er  0.500  0.000  0.000

Values from the calculation:
The value obtained for the spin magnetization is 0.01 μB/f.u. The total DFT energy (no corrections) is -56.23 eV per formula unit. The energy above the most stable polymorph in this dataset is 528 meV per atom.

=====

3.
Density functional theory data (PBE-GGA) for Si3Hg2B2 after structural relaxation.

Cell: 11.290 11.290 11.290 Å, 18.01 18.01 18.01°
Atoms (fractional coordinates):
Hg  0.789  0.789  0.789
Si  0.938  0.938  0.938
B  0.013  0.013  0.013
Hg  0.201  0.201  0.201
B  0.428  0.428  0.428
Si  0.368  0.368  0.368
Si  0.639  0.639  0.639

Values from the calculation:
The total DFT energy (no corrections) is -25.63 eV per formula unit.

=====

4.
Density functional theory data (PBE-GGA) for GdHICl after structural relaxation.

Cell: 3.909 3.909 14.947 Å, 90.00 90.00 120.00°
Atoms (fractional coordinates):
H  0.000  0.000  0.000
I  0.333  0.667  0.855
Gd  0.667  0.333  0.000
H  0.333  0.667  0.500
Gd  0.667  0.333  0.500
I  0.333  0.667  0.145
Cl  0.000  0.000  0.385
Cl  0.000  0.000  0.615

Values from the calculation:
The value obtained for the spin magnetization is 0.00 μB/f.u. The total DFT energy (no corrections) is -17.34 eV per formula unit. The energy above the most stable polymorph in this dataset is 4 meV per atom.

=====

5.
Density functional theory data (PBE-GGA) for SmHoB2Ir2N2 after structural relaxation.

Cell: 3.756 3.756 7.494 Å, 90.00 90.00 90.00°
Atoms (fractional coordinates):
Ho  0.500  0.500  0.162
N  0.000  0.000  0.147
B  0.500  0.500  0.656
N  0.500  0.500  0.857
Ir  0.000  0.500  0.498
Ir  0.500  0.000  0.498
Sm  0.000  0.000  0.836
B  0.000  0.000  0.346

Values from the calculation:
The value obtained for the spin magnetization is 0.01 μB/f.u. The total DFT energy (no corrections) is -66.10 eV per formula unit.

=====

6.
Density functional theory data (PBE-GGA) for ScCuGeTe2Se after structural relaxation.

Cell: 7.295 7.295 9.981 Å, 90.00 90.00 148.07°
Atoms (fractional coordinates):
Ge  0.756  0.244  0.250
Sc  0.000  0.000  0.500
Sc  0.000  0.000  0.000
Se  0.919  0.081  0.750
Ge  0.244  0.756  0.750
Te  0.350  0.650  0.441
Te  0.350  0.650  0.059
Te  0.650  0.350  0.941
Cu  0.480  0.520  0.250
Se  0.081  0.919  0.250
Cu  0.520  0.480  0.750
Te  0.650  0.350  0.559

Values from the calculation:
The value obtained for the spin magnetization is 0.01 μB/f.u. The total DFT energy (no corrections) is -27.75 eV per formula unit.

=====

7.
Density functional theory data (PBE-GGA) for As2PbAu after structural relaxation.

Cell: 4.987 4.987 4.987 Å, 60.00 60.00 60.00°
Atoms (fractional coordinates):
As  0.000  0.000  0.000
Au  0.250  0.250  0.250
As  0.750  0.750  0.750
Pb  0.500  0.500  0.500

Values from the calculation:
The total DFT energy (no corrections) is -15.09 eV per formula unit.

=====

8.
Density functional theory data (PBE-GGA) for Cd2As3C after structural relaxation.

Cell: 5.930 5.930 6.992 Å, 95.35 95.35 87.92°
Atoms (fractional coordinates):
As  0.208  0.986  0.474
Cd  0.576  0.766  0.132
As  0.014  0.792  0.026
As  0.986  0.208  0.974
Cd  0.234  0.424  0.368
C  0.771  0.229  0.750
Cd  0.766  0.576  0.632
Cd  0.424  0.234  0.868
C  0.229  0.771  0.250
As  0.792  0.014  0.526
As  0.303  0.697  0.750
As  0.697  0.303  0.250

Values from the calculation:
The total DFT energy (no corrections) is -22.24 eV per formula unit.

=====

9.
Density functional theory data (PBE-GGA) for Cd2P2O7 after structural relaxation.

Cell: 6.624 6.626 6.782 Å, 95.46 115.22 82.53°
Atoms (fractional coordinates):
O  0.896  0.495  0.208
Cd  0.271  0.362  0.334
P  0.239  0.659  0.757
O  0.745  0.920  0.887
Cd  0.729  0.638  0.666
O  0.393  0.566  0.651
P  0.761  0.341  0.243
P  0.637  0.136  0.808
O  0.070  0.835  0.636
O  0.399  0.134  0.628
Cd  0.119  0.162  0.750
O  0.607  0.434  0.349
O  0.591  0.251  0.012
O  0.255  0.080  0.113
O  0.104  0.505  0.792
O  0.930  0.165  0.364
O  0.788  0.262  0.765
P  0.363  0.864  0.192
O  0.601  0.866  0.372
O  0.409  0.749  0.988
O  0.212  0.738  0.235
Cd  0.881  0.838  0.250

Values from the calculation:
The total DFT energy (no corrections) is -68.17 eV per formula unit.

=====

10.
Density functional theory data (PBE-GGA) for HoTcB4 after structural relaxation.

Cell: 4.708 4.708 4.708 Å, 140.91 110.58 82.67°
Atoms (fractional coordinates):
Ho  0.000  0.000  0.000
B  0.414  0.750  0.664
B  0.586  0.250  0.336
B  0.913  0.250  0.664
B  0.087  0.750  0.336
Tc  0.500  0.500  0.000

Values from the calculation:
The value obtained for the spin magnetization is 0.00 μB/f.u. The total DFT energy (no corrections) is -44.00 eV per formula unit.